No. 1
# Na3EuV2O8, relaxed, DFT GGA+U
data_Na3EuV2O8
_cell_length_a 5.9971
_cell_length_b 5.9971
_cell_length_c 7.0774
_cell_angle_alpha 90.00
_cell_angle_beta 90.00
_cell_angle_gamma 120.00
_symmetry_space_group_name_H-M 'P -3 m 1'
_symmetry_Int_Tables_number 164
_symmetry_space_group_name_Hall '-P 3 2"'
loop_
_atom_site_label
_atom_site_type_symbol
_atom_site_fract_x
_atom_site_fract_y
_atom_site_fract_z
Na1 Na 0.0000 0.0000 0.0000
Na2 Na 0.3333 0.6667 0.6652
Eu1 Eu 0.0000 0.0000 0.5000
V1 V 0.3333 0.6667 0.2106
O1 O 0.1753 0.3506 0.3017
O2 O 0.3333 0.6667 0.9734
# Magnetic moment in μB/f.u.: 6.0
# D(E_F) in states/eV/f.u.: 12.38
# Calculated volume in A^3/atom: 15.75
# Raw total energy in eV/cell: -97.52

=====

No. 2
# NaEuW2O6, relaxed, DFT GGA+U
data_NaEuW2O6
_cell_length_a 8.068
_cell_length_b 8.068
_cell_length_c 8.068
_cell_angle_alpha 90.00
_cell_angle_beta 90.00
_cell_angle_gamma 90.00
_symmetry_space_group_name_H-M 'F m -3 m'
_symmetry_Int_Tables_number 225
_symmetry_space_group_name_Hall '-F 4 2 3'
loop_
_atom_site_label
_atom_site_type_symbol
_atom_site_fract_x
_atom_site_fract_y
_atom_site_fract_z
Na1 Na 0.000 0.000 0.000
Eu1 Eu 0.000 0.000 0.500
W1 W 0.250 0.250 0.250
O1 O 0.000 0.250 0.250
# Magnetic moment in μB/f.u.: 10.0
# D(E_F) in states/eV/f.u.: 8.71
# Calculated volume in A^3/atom: 13.13
# Raw total energy in eV/cell: -307.32

=====

No. 3
# NaEuZrWO6, relaxed, DFT GGA+U
data_NaEuZrWO6
_cell_length_a 8.167
_cell_length_b 8.167
_cell_length_c 8.167
_cell_angle_alpha 90.00
_cell_angle_beta 90.00
_cell_angle_gamma 90.00
_symmetry_space_group_name_H-M 'F -4 3 m'
_symmetry_Int_Tables_number 216
_symmetry_space_group_name_Hall 'F -4 2 3'
loop_
_atom_site_label
_atom_site_type_symbol
_atom_site_fract_x
_atom_site_fract_y
_atom_site_fract_z
Na1 Na 0.000 0.000 0.000
Eu1 Eu 0.000 0.000 0.500
Zr1 Zr 0.250 0.250 0.750
W1 W 0.250 0.250 0.250
O1 O 0.007 0.250 0.250
# Magnetic moment in μB/f.u.: 8.0
# D(E_F) in states/eV/f.u.: 10.81
# Calculated volume in A^3/atom: 13.62
# Raw total energy in eV/cell: -330.50

=====

> Which value of magnetic moment does entry 2 give?

10.0 μB/f.u.

=====

Repeat the third record exactly.
# NaEuZrWO6, relaxed, DFT GGA+U
data_NaEuZrWO6
_cell_length_a 8.167
_cell_length_b 8.167
_cell_length_c 8.167
_cell_angle_alpha 90.00
_cell_angle_beta 90.00
_cell_angle_gamma 90.00
_symmetry_space_group_name_H-M 'F -4 3 m'
_symmetry_Int_Tables_number 216
_symmetry_space_group_name_Hall 'F -4 2 3'
loop_
_atom_site_label
_atom_site_type_symbol
_atom_site_fract_x
_atom_site_fract_y
_atom_site_fract_z
Na1 Na 0.000 0.000 0.000
Eu1 Eu 0.000 0.000 0.500
Zr1 Zr 0.250 0.250 0.750
W1 W 0.250 0.250 0.250
O1 O 0.007 0.250 0.250
# Magnetic moment in μB/f.u.: 8.0
# D(E_F) in states/eV/f.u.: 10.81
# Calculated volume in A^3/atom: 13.62
# Raw total energy in eV/cell: -330.50

=====

Copy entry 1 word for word.
# Na3EuV2O8, relaxed, DFT GGA+U
data_Na3EuV2O8
_cell_length_a 5.9971
_cell_length_b 5.9971
_cell_length_c 7.0774
_cell_angle_alpha 90.00
_cell_angle_beta 90.00
_cell_angle_gamma 120.00
_symmetry_space_group_name_H-M 'P -3 m 1'
_symmetry_Int_Tables_number 164
_symmetry_space_group_name_Hall '-P 3 2"'
loop_
_atom_site_label
_atom_site_type_symbol
_atom_site_fract_x
_atom_site_fract_y
_atom_site_fract_z
Na1 Na 0.0000 0.0000 0.0000
Na2 Na 0.3333 0.6667 0.6652
Eu1 Eu 0.0000 0.0000 0.5000
V1 V 0.3333 0.6667 0.2106
O1 O 0.1753 0.3506 0.3017
O2 O 0.3333 0.6667 0.9734
# Magnetic moment in μB/f.u.: 6.0
# D(E_F) in states/eV/f.u.: 12.38
# Calculated volume in A^3/atom: 15.75
# Raw total energy in eV/cell: -97.52

=====

> Which value of raw total energy does entry 2 give?

-307.32 eV/cell